(1)
A relaxed TaBrCl2 crystal. Source: the Alexandria database, functional PBE.

Cell lengths 5.424, 9.148, 3.250 Å; angles 90.00, 90.00, 90.00 degrees
Space group Cmmm (No. 65)
Unique sites:
1 Ta 0.000 0.000 0.000
2 Br 0.000 0.500 0.000
3 Cl 0.250 0.250 0.500

Output
- ΔE_f (raw) (eV/f.u.) = 2.03
- spin magnetization (μB/atom) = 0.0782
- polymorph energy (0 for the lowest one) (meV/atom) = 1503



(2)
A relaxed Pr2InAg9 crystal. Source: the Alexandria database, functional PBE.

Cell lengths 5.7236, 5.7236, 27.8382 Å; angles 90.00, 90.00, 120.00 degrees
Space group R-3m (No. 166, hexagonal axes)
Unique sites:
1 Pr 0.0000 0.0000 0.1360
2 In 0.0000 0.0000 0.0000
3 Ag 0.0000 0.0000 0.3335
4 Ag 0.0000 0.0000 0.5000
5 Ag 0.0043 0.5021 0.9163

Output
- energy of formation (eV/atom) = -0.07
- spin magnetization (μB/atom) = 0.0000



(3)
A relaxed Pm3S2 crystal. Source: the Alexandria database, functional PBE.

Cell lengths 3.9692, 3.9692, 29.3542 Å; angles 90.00, 90.00, 120.00 degrees
Space group R-3m (No. 166, hexagonal axes)
Unique sites:
1 Pm 0.0000 0.0000 0.0000
2 Pm 0.0000 0.0000 0.2185
3 S 0.0000 0.0000 0.3907

Output
- ΔE_f (raw) (eV/f.u.) = -7.84
- spin magnetization (μB/atom) = 0.2258
- polymorph energy (0 for the lowest one) (meV/atom) = 0



(4)
A relaxed ScAlTcNi crystal. Source: the Alexandria database, functional PBE.

Cell lengths 6.180, 6.180, 6.180 Å; angles 90.00, 90.00, 90.00 degrees
Space group F-43m (No. 216)
Unique sites:
1 Sc 0.000 0.000 0.000
2 Al 0.000 0.000 0.500
3 Tc 0.250 0.250 0.750
4 Ni 0.250 0.250 0.250

Output
- energy of formation (eV/atom) = -0.39
- spin magnetization (μB/atom) = 0.0000



(5)
A relaxed LaEr6Te8 crystal. Source: the Alexandria database, functional PBE.

Cell lengths 12.221, 12.221, 12.221 Å; angles 90.00, 90.00, 90.00 degrees
Space group Fm-3m (No. 225)
Unique sites:
1 La 0.000 0.000 0.000
2 Er 0.000 0.250 0.250
3 Te 0.000 0.000 0.265
4 Te 0.250 0.250 0.250

Output
- ΔE_f (raw) (eV/f.u.) = -20.00
- spin magnetization (μB/atom) = 0.0000
- polymorph energy (0 for the lowest one) (meV/atom) = 0



(6)
A relaxed MnAg2SbSe4 crystal. Source: the Alexandria database, functional PBE.

Cell lengths 8.816, 7.270, 6.921 Å; angles 90.00, 90.00, 90.00 degrees
Space group Pmn2_1 (No. 31)
Unique sites:
1 Mn 0.000 0.164 0.000
2 Ag 0.250 0.320 0.499
3 Sb 0.000 0.810 0.487
4 Se 0.000 0.153 0.361
5 Se 0.000 0.847 0.871
6 Se 0.218 0.331 0.881

Output
- ΔE_f (raw) (eV/f.u.) = -1.55
- spin magnetization (μB/atom) = 0.4977



Q: Which value of spin magnetization does entry 5 give?
A: 0.0000 μB/atom



Q: Look up the spin magnetization of the first one.
A: 0.0782 μB/atom



Q: Number 1 is which compound?
A: TaBrCl2